Computed, not measured: a geometry-optimized Pm4Dy8Y3 structure at the PBE level of DFT.

```
data_Pm4Dy8Y3
_cell_length_a 6.9732
_cell_length_b 6.9732
_cell_length_c 12.4989
_cell_angle_alpha 73.80
_cell_angle_beta 73.80
_cell_angle_gamma 60.00
_symmetry_space_group_name_H-M 'P 1'
_symmetry_Int_Tables_number 1
loop_
_symmetry_equiv_pos_as_xyz
'x,y,z'
loop_
_atom_site_label
_atom_site_type_symbol
_atom_site_fract_x
_atom_site_fract_y
_atom_site_fract_z
Dy1 Dy 0.7499 0.7499 0.2526
Dy2 Dy 0.2454 0.2454 0.2638
Dy3 Dy 0.2476 0.7499 0.2526
Dy4 Dy 0.7546 0.7546 0.7362
Dy5 Dy 0.7524 0.2501 0.7474
Dy6 Dy 0.2501 0.2501 0.7474
Dy7 Dy 0.2501 0.7524 0.7474
Dy8 Dy 0.7499 0.2476 0.2526
Pm1 Pm 0.3367 0.3367 0.9900
Pm2 Pm 0.6633 0.6633 0.0100
Pm3 Pm 0.0000 0.0000 0.0000
Pm4 Pm 0.5000 0.5000 0.5000
Y1 Y 0.5000 0.0000 0.5000
Y2 Y 0.0000 0.5000 0.5000
Y3 Y 0.0000 0.0000 0.5000
```

Properties
Fermi-level density of states ... 1.5475 states/eV/atom
Formation enthalpy at 0 K ... 0.129 eV per atom
ρ ... 7.2 g/cm3

=====

Computed, not measured: a geometry-optimized LiPmCd2 structure at the PBE level of DFT.

```
data_LiPmCd2
_cell_length_a 3.4635
_cell_length_b 3.4635
_cell_length_c 9.8565
_cell_angle_alpha 79.88
_cell_angle_beta 79.88
_cell_angle_gamma 60.00
_symmetry_space_group_name_H-M 'P 1'
_symmetry_Int_Tables_number 1
loop_
_symmetry_equiv_pos_as_xyz
'x,y,z'
loop_
_atom_site_label
_atom_site_type_symbol
_atom_site_fract_x
_atom_site_fract_y
_atom_site_fract_z
Pm1 Pm 0.5000 0.5000 0.5000
Cd1 Cd 0.7406 0.7406 0.7781
Cd2 Cd 0.2594 0.2594 0.2219
Li1 Li 0.0000 0.0000 0.0000
```

Properties
Fermi-level density of states ... 0.5350 states/eV/atom
Distance to the lowest polymorph of the same formula ... 179 meV/atom
Formation enthalpy at 0 K ... -0.101 eV per atom
ρ ... 6.2 g/cm3

=====

Computed, not measured: a geometry-optimized NdHo3Si2 structure at the PBE level of DFT.

```
data_NdHo3Si2
_cell_length_a 4.3088
_cell_length_b 10.0515
_cell_length_c 9.1639
_cell_angle_alpha 125.81
_cell_angle_beta 90.00
_cell_angle_gamma 102.38
_symmetry_space_group_name_H-M 'P 1'
_symmetry_Int_Tables_number 1
loop_
_symmetry_equiv_pos_as_xyz
'x,y,z'
loop_
_atom_site_label
_atom_site_type_symbol
_atom_site_fract_x
_atom_site_fract_y
_atom_site_fract_z
Nd1 Nd 0.1155 0.2310 0.0949
Nd2 Nd 0.8845 0.7690 0.9051
Si1 Si 0.4870 0.9740 0.8505
Si2 Si 0.7647 0.5295 0.2406
Si3 Si 0.5130 0.0260 0.1495
Si4 Si 0.2353 0.4705 0.7594
Ho1 Ho 0.0480 0.0959 0.3993
Ho2 Ho 0.9520 0.9041 0.6007
Ho3 Ho 0.6516 0.3031 0.8219
Ho4 Ho 0.6910 0.3820 0.4980
Ho5 Ho 0.3090 0.6180 0.5020
Ho6 Ho 0.3484 0.6969 0.1781
```

Properties
Fermi-level density of states ... 0.8828 states/eV/atom
ρ ... 7.4 g/cm3
Raw formation energy ... -498 meV per atom